The following is a GGA-PBE calculation of an optimized crystal structure of LaScPt4, from Alexandria via LeMat-Bulk.

Fermi-level density of states   2.23 states/eV/cell
Space-group type   No. 216
Calculated density   14.0 g/cm3
ΔE_f   -1005 meV/atom

Unit cell a=5.4487 b=5.4487 c=5.4487 alpha=60.00 beta=60.00 gamma=60.00
With the nearest neighbours (Å) after each atom.
Element x y z (fractional)
Pt (0.3756, 0.3756, 0.8731)  6 Pt 2.71-2.74
Pt (0.3756, 0.3756, 0.3756)  6 Pt 2.71-2.74
Pt (0.8731, 0.3756, 0.3756)  6 Pt 2.71-2.74
Pt (0.3756, 0.8731, 0.3756)  6 Pt 2.71-2.74
Sc (0.7500, 0.7500, 0.7500)  12 Pt 3.19, 4 La 3.34
La (0.0000, 0.0000, 0.0000)  12 Pt 3.20, 4 Sc 3.34

---

The following is a GGA-PBE calculation of an optimized crystal structure of Pm2Pr3Y6, from Alexandria via LeMat-Bulk.

ΔE to the lowest computed polymorph   0.0000 eV/atom
Fermi-level density of states   13.08 states/eV/cell
Space-group type   No. 166
Calculated density   5.6 g/cm3
ΔE_f   10 meV/atom

Unit cell a=3.6310 b=3.6310 c=32.3529 alpha=86.78 beta=86.78 gamma=60.00
With the nearest neighbours (Å) after each atom.
Element x y z (fractional)
Pr (0.7276, 0.7276, 0.8172)  6 Y 3.62, 6 Pr 3.63
Pr (0.0000, 0.0000, 0.0000)  6 Y 3.62, 6 Pr 3.63
Pr (0.2724, 0.2724, 0.1828)  6 Y 3.62, 6 Pr 3.63
Y (0.9086, 0.9086, 0.2741)  3 Pm 3.59, 3 Pr 3.62, 6 Y 3.63
Y (0.0914, 0.0914, 0.7259)  3 Pm 3.59, 3 Pr 3.62, 6 Y 3.63
Y (0.1816, 0.1816, 0.4553)  9 Y 3.57-3.63, 3 Pm 3.60
Y (0.3638, 0.3638, 0.9087)  6 Pr 3.62, 6 Y 3.63
Y (0.8184, 0.8184, 0.5447)  9 Y 3.57-3.63, 3 Pm 3.60
Y (0.6362, 0.6362, 0.0913)  6 Pr 3.62, 6 Y 3.63
Pm (0.4549, 0.4549, 0.6354)  6 Y 3.59-3.60, 6 Pm 3.63
Pm (0.5451, 0.5451, 0.3646)  6 Y 3.59-3.60, 6 Pm 3.63

---

The following is a GGA-PBE calculation of an optimized crystal structure of ErBeNiC, from Alexandria via LeMat-Bulk.

Fermi-level density of states   5.53 states/eV/cell
Space-group type   No. 129
Calculated density   7.9 g/cm3
ΔE_f   -234 meV/atom

Unit cell a=3.5334 b=3.5334 c=8.2776 alpha=90.00 beta=90.00 gamma=90.00
With the nearest neighbours (Å) after each atom.
Element x y z (fractional)
Er (0.5000, 0.0000, 0.1537)  5 C 2.42-2.50
Er (0.0000, 0.5000, 0.8463)  5 C 2.42-2.50
Be (0.0000, 0.5000, 0.3406)  1 C 1.67
Be (0.5000, 0.0000, 0.6594)  1 C 1.67
Ni (0.5000, 0.5000, 0.5000)  4 Be 2.20
Ni (0.0000, 0.0000, 0.5000)  4 Be 2.20
C (0.5000, 0.0000, 0.8613)  1 Be 1.67
C (0.0000, 0.5000, 0.1387)  1 Be 1.67

---

The following is a GGA-PBE calculation of an optimized crystal structure of Hf15TlPb4, from Alexandria via LeMat-Bulk.

Fermi-level density of states   17.33 states/eV/cell
Space-group type   No. 123
Calculated density   13.8 g/cm3
ΔE_f   -3 meV/atom

Unit cell a=4.4641 b=4.4641 c=22.3465 alpha=90.00 beta=90.00 gamma=90.00
With the nearest neighbours (Å) after each atom.
Element x y z (fractional)
Hf (0.5000, 0.5000, 0.3997)  4 Pb 3.16, 8 Hf 3.16-3.17
Hf (0.5000, 0.0000, 0.7008)  4 Pb 3.15-3.16, 8 Hf 3.16-3.17
Hf (0.0000, 0.5000, 0.5000)  8 Hf 3.16, 4 Pb 3.17
Hf (0.5000, 0.0000, 0.0988)  8 Hf 3.14-3.16, 2 Tl 3.14, 2 Pb 3.17
Hf (0.5000, 0.5000, 0.0000)  8 Hf 3.14, 4 Tl 3.16
Hf (0.5000, 0.5000, 0.8017)  8 Hf 3.15-3.17, 4 Pb 3.16
Hf (0.0000, 0.5000, 0.9012)  2 Tl 3.14, 8 Hf 3.14-3.16, 2 Pb 3.17
Hf (0.5000, 0.0000, 0.2992)  4 Pb 3.15-3.16, 8 Hf 3.16-3.17
Hf (0.5000, 0.0000, 0.5000)  8 Hf 3.16, 4 Pb 3.17
Hf (0.5000, 0.5000, 0.1983)  8 Hf 3.15-3.17, 4 Pb 3.16
Hf (0.5000, 0.5000, 0.6003)  4 Pb 3.16, 8 Hf 3.16-3.17
Hf (0.5000, 0.0000, 0.9012)  2 Tl 3.14, 8 Hf 3.14-3.16, 2 Pb 3.17
Hf (0.0000, 0.5000, 0.2992)  4 Pb 3.15-3.16, 8 Hf 3.16-3.17
Hf (0.0000, 0.5000, 0.7008)  4 Pb 3.15-3.16, 8 Hf 3.16-3.17
Hf (0.0000, 0.5000, 0.0988)  8 Hf 3.14-3.16, 2 Tl 3.14, 2 Pb 3.17
Pb (0.0000, 0.0000, 0.6005)  12 Hf 3.16-3.17
Pb (0.0000, 0.0000, 0.8003)  12 Hf 3.15-3.17
Pb (0.0000, 0.0000, 0.3995)  12 Hf 3.16-3.17
Pb (0.0000, 0.0000, 0.1997)  12 Hf 3.15-3.17
Tl (0.0000, 0.0000, 0.0000)  12 Hf 3.14-3.16

---

The following is a GGA-PBE calculation of an optimized crystal structure of YSc2Te, from Alexandria via LeMat-Bulk.

Energy relative to the elements, uncorrected   -0.4357 eV per atom
Fermi-level density of states   4.86 states/eV/cell
Space-group type   No. 160
Calculated density   4.5 g/cm3

Unit cell a=3.7606 b=3.7606 c=9.3898 alpha=78.45 beta=78.45 gamma=60.00
With the nearest neighbours (Å) after each atom.
Element x y z (fractional)
Y (0.5002, 0.5002, 0.4993)  6 Sc 3.40-3.41, 6 Y 3.76
Sc (0.0708, 0.0708, 0.7877)  3 Te 2.92
Sc (0.2626, 0.2626, 0.2122)  3 Te 2.91
Te (0.6664, 0.6664, 0.0008)  6 Sc 2.91-2.92

---

The following is a GGA-PBE calculation of an optimized crystal structure of CdRuCl2, from Alexandria via LeMat-Bulk.

ΔE to the lowest computed polymorph   0.5788 eV/atom
Energy relative to the elements, uncorrected   0.3836 eV per atom
Fermi-level density of states   3.95 states/eV/cell
Space-group type   No. 225
Calculated density   6.1 g/cm3

Unit cell a=4.7813 b=4.7813 c=4.7813 alpha=60.00 beta=60.00 gamma=60.00
With the nearest neighbours (Å) after each atom.
Element x y z (fractional)
Cl (0.2500, 0.2500, 0.2500)  4 Cd 2.93, 4 Ru 2.93
Cl (0.7500, 0.7500, 0.7500)  4 Ru 2.93, 4 Cd 2.93
Ru (0.0000, 0.0000, 0.0000)  8 Cl 2.93
Cd (0.5000, 0.5000, 0.5000)  8 Cl 2.93

---

The following is a GGA-PBE calculation of an optimized crystal structure of TbPm4Pr3S8, from Alexandria via LeMat-Bulk.

Energy relative to the elements, uncorrected   -2.0180 eV per atom
Fermi-level density of states   8.90 states/eV/cell
Space-group type   No. 166
Calculated density   6.3 g/cm3

Unit cell a=8.1022 b=8.0955 c=8.1020 alpha=120.02 beta=120.00 gamma=90.00
With the nearest neighbours (Å) after each atom.
Element x y z (fractional)
Pm (0.5000, 0.0000, 0.0000)  6 S 2.91
Pm (0.5000, 0.0000, 0.5000)  6 S 2.84
Pm (0.0000, 0.0000, 0.5000)  6 S 2.84
Pm (0.0000, 0.0000, 0.0000)  6 S 2.84
S (0.2461, 0.7506, 0.4922)  1 Tb 2.82, 3 Pm 2.84-2.91, 2 Pr 2.89
S (0.2477, 0.2431, 0.4954)  3 Pm 2.84, 3 Pr 2.89
S (0.7539, 0.2494, 0.5078)  1 Tb 2.82, 3 Pm 2.84-2.91, 2 Pr 2.89
S (0.7523, 0.7569, 0.5046)  3 Pm 2.84, 3 Pr 2.89
S (0.7584, 0.7506, 0.0045)  1 Tb 2.82, 3 Pm 2.84-2.91, 2 Pr 2.89
S (0.2461, 0.7506, 0.0045)  1 Tb 2.82, 3 Pm 2.84-2.91, 2 Pr 2.89
S (0.7539, 0.2494, 0.9955)  1 Tb 2.82, 3 Pm 2.84-2.91, 2 Pr 2.89
S (0.2416, 0.2494, 0.9955)  1 Tb 2.82, 3 Pm 2.84-2.91, 2 Pr 2.89
Pr (0.5000, 0.5000, 0.0000)  6 S 2.89
Pr (0.0000, 0.5000, 0.5000)  6 S 2.89
Pr (0.5000, 0.5000, 0.5000)  6 S 2.89
Tb (0.0000, 0.5000, 0.0000)  6 S 2.82

---

The following is a GGA-PBE calculation of an optimized crystal structure of CsDyCo2Br8, from Alexandria via LeMat-Bulk.

Energy relative to the elements, uncorrected   -1.0447 eV per atom
Space-group type   No. 12
Calculated density   3.8 g/cm3

Unit cell a=6.8547 b=6.8547 c=10.6031 alpha=83.42 beta=83.42 gamma=68.41
With the nearest neighbours (Å) after each atom.
Element x y z (fractional)
Br (0.2721, 0.7687, 0.8036)  1 Co 2.45
Br (0.3155, 0.3155, 0.6021)  1 Co 2.33
Br (0.7523, 0.7523, 0.0077)  1 Co 2.41
Br (0.7687, 0.2721, 0.8036)  1 Co 2.45
Br (0.6845, 0.6845, 0.3979)  1 Co 2.33
Br (0.2313, 0.7279, 0.1964)  1 Co 2.45
Br (0.7279, 0.2313, 0.1964)  1 Co 2.45
Br (0.2477, 0.2477, 0.9923)  1 Co 2.41
Co (0.6131, 0.6131, 0.2019)  4 Br 2.33-2.45
Co (0.3869, 0.3869, 0.7981)  4 Br 2.33-2.45
Dy (0.0000, 0.0000, 0.0000)  6 Br 2.80-2.83
Cs (0.0000, 0.0000, 0.5000)  6 Br 3.79-3.88

---

The following is a GGA-PBE calculation of an optimized crystal structure of Ac3InGe2Au6, from Alexandria via LeMat-Bulk.

Fermi-level density of states   5.73 states/eV/cell
Space-group type   No. 164
Calculated density   11.1 g/cm3
ΔE_f   -529 meV/atom

Unit cell a=6.5699 b=6.5699 c=8.4926 alpha=90.00 beta=90.00 gamma=120.00
With the nearest neighbours (Å) after each atom.
Element x y z (fractional)
Ge (0.3333, 0.6667, 0.0480)  3 Au 2.62
Ge (0.6667, 0.3333, 0.9520)  3 Au 2.62
Au (0.8171, 0.1829, 0.7179)  1 Ge 2.62, 1 In 2.78
Au (0.6343, 0.8171, 0.2821)  1 Ge 2.62, 1 In 2.78
Au (0.3657, 0.1829, 0.7179)  1 Ge 2.62, 1 In 2.78
Au (0.8171, 0.6343, 0.7179)  1 Ge 2.62, 1 In 2.78
Au (0.1829, 0.3657, 0.2821)  1 Ge 2.62, 1 In 2.78
Au (0.1829, 0.8171, 0.2821)  1 Ge 2.62, 1 In 2.78
Ac (0.0000, 0.0000, 0.0000)  6 Au 3.17
Ac (0.3333, 0.6667, 0.6484)  9 Au 3.34-3.55, 1 Ge 3.39
Ac (0.6667, 0.3333, 0.3516)  9 Au 3.34-3.55, 1 Ge 3.39
In (0.0000, 0.0000, 0.5000)  6 Au 2.78

---

The following is a GGA-PBE calculation of an optimized crystal structure of Sr2FeRh, from Alexandria via LeMat-Bulk.

ΔE to the lowest computed polymorph   0.1156 eV/atom
Fermi-level density of states   4.09 states/eV/cell
Space-group type   No. 99
Calculated density   5.0 g/cm3
ΔE_f   185 meV/atom

Unit cell a=3.5251 b=3.5251 c=8.9023 alpha=90.00 beta=90.00 gamma=90.00
With the nearest neighbours (Å) after each atom.
Element x y z (fractional)
Fe (0.0000, 0.0000, 0.5884)  4 Rh 2.58
Rh (0.5000, 0.5000, 0.6633)  4 Fe 2.58
Sr (0.0000, 0.0000, 0.9197)  1 Fe 2.95
Sr (0.5000, 0.5000, 0.3286)  1 Rh 2.98

---

The following is a GGA-PBE calculation of an optimized crystal structure of PmErCd14, from Alexandria via LeMat-Bulk.

Fermi-level density of states   5.14 states/eV/cell
Space-group type   No. 123
Calculated density   8.4 g/cm3
ΔE_f   -139 meV/atom

Unit cell a=6.6258 b=6.6258 c=8.4954 alpha=90.00 beta=90.00 gamma=90.00
With the nearest neighbours (Å) after each atom.
Element x y z (fractional)
Cd (0.3750, 0.3750, 0.0000)  12 Cd 3.09-3.31
Cd (0.6221, 0.6221, 0.2410)  10 Cd 3.09-3.35, 1 Er 3.19, 1 Pm 3.23
Cd (0.1278, 0.6222, 0.2409)  10 Cd 3.09-3.35, 1 Er 3.20, 1 Pm 3.23
Cd (0.3750, 0.8750, 0.5000)  8 Cd 3.21, 2 Er 3.31, 2 Pm 3.31
Cd (0.6222, 0.1278, 0.2409)  10 Cd 3.09-3.35, 1 Er 3.20, 1 Pm 3.23
Cd (0.6221, 0.6221, 0.7590)  10 Cd 3.09-3.35, 1 Er 3.19, 1 Pm 3.23
Cd (0.6222, 0.1278, 0.7591)  10 Cd 3.09-3.35, 1 Er 3.20, 1 Pm 3.23
Cd (0.1279, 0.1279, 0.2410)  10 Cd 3.09-3.35, 1 Er 3.19, 1 Pm 3.23
Cd (0.8750, 0.3750, 0.5000)  8 Cd 3.21, 2 Er 3.31, 2 Pm 3.31
Cd (0.8750, 0.3750, 0.0000)  12 Cd 3.11-3.31
Cd (0.1279, 0.1279, 0.7590)  10 Cd 3.09-3.35, 1 Er 3.19, 1 Pm 3.23
Cd (0.1278, 0.6222, 0.7591)  10 Cd 3.09-3.35, 1 Er 3.20, 1 Pm 3.23
Cd (0.8750, 0.8750, 0.0000)  12 Cd 3.13-3.31
Cd (0.3750, 0.8750, 0.0000)  12 Cd 3.11-3.31
Er (0.3750, 0.3750, 0.5000)  12 Cd 3.19-3.31
Pm (0.8750, 0.8750, 0.5000)  12 Cd 3.23-3.31

---

The following is a GGA-PBE calculation of an optimized crystal structure of CaFe2, from Alexandria via LeMat-Bulk.

Fermi-level density of states   5.14 states/eV/cell
Space-group type   No. 58
Calculated density   4.9 g/cm3
ΔE_f   664 meV/atom

Unit cell a=2.7128 b=4.9803 c=7.6539 alpha=90.00 beta=90.00 gamma=90.00
With the nearest neighbours (Å) after each atom.
Element x y z (fractional)
Ca (0.0000, 0.0000, 0.0000)  2 Ca 2.71, 6 Fe 2.79-2.86
Ca (0.5000, 0.5000, 0.5000)  2 Ca 2.71, 6 Fe 2.79-2.86
Fe (0.8360, 0.0000, 0.3594)  1 Fe 2.33
Fe (0.3360, 0.5000, 0.1406)  1 Fe 2.33
Fe (0.1640, 0.0000, 0.6406)  1 Fe 2.33
Fe (0.6640, 0.5000, 0.8594)  1 Fe 2.33